! AcPr2Pu (PBE, optimized geometry); values from VASP
! **Crystal system**: trigonal
! **Magnetization**: 6.28 μB per formula unit
! **Space group**: R3m, No. 160
! **Calculated formation energy**: 0.161 eV/atom
! **V**: 146 Å³ per cell
&SYSTEM
  ibrav = 0, nat = 4, ntyp = 3
/
ATOMIC_SPECIES
Pr 140.91 Pr.upf
Pu 244.00 Pu.upf
Ac 227.00 Ac.upf
CELL_PARAMETERS angstrom
-2.219 2.805 -1.112
-3.283 0.581 1.707
3.544 8.488 8.035
ATOMIC_POSITIONS crystal
Pr 0.078 0.078 0.766
Pu 0.666 0.666 0.001
Ac 0.500 0.500 0.499
Pr 0.255 0.255 0.234